# 1
VASP calculation (PBE) on a relaxed structure of Ho2HfCu.

Lattice parameters (Å, degrees): 11.092 11.092 11.092 16.58 16.58 16.58
Positions (direct):
Ho 0.098 0.098 0.098
Ho 0.902 0.902 0.902
Hf 0.000 0.000 0.000
Cu 0.500 0.500 0.500

Relative energy among the computed polymorphs (meV per atom): 451

=====

# 2
VASP calculation (PBE) on a relaxed structure of HoHf2Cu6.

Lattice parameters (Å, degrees): 7.385 7.385 3.047 90.00 90.00 120.00
Positions (direct):
Ho 0.000 0.000 0.000
Hf 0.333 0.667 0.000
Hf 0.667 0.333 0.000
Cu 0.000 0.337 0.500
Cu 0.000 0.663 0.500
Cu 0.337 0.000 0.500
Cu 0.337 0.337 0.500
Cu 0.663 0.000 0.500
Cu 0.663 0.663 0.500

=====

| no. | DOS at the Fermi energy (states/eV/f.u.) | formation enthalpy at 0 K (eV/f.u.) |
| --- | --- | --- |
| 1 | 4.60 | 1.57 |
| 2 | 5.11 | -1.35 |